# 1
This record from the Alexandria database describes a PBEsol-optimized structure of Mo3Pd2N. The functional is SCAN.

Cell: 6.7785 6.7785 6.7785 Å, 90.00 90.00 90.00°
With the nearest neighbours (Å) after each atom.
Space group P4_132 (No. 213)
Inequivalent atoms, fractional coordinates:
Mo: 0.0476 0.1250 0.7976 [12 per cell]  2 N 2.13
Pd: 0.0603 0.9397 0.4397 [8 per cell]  3 Pd 2.55, 3 Mo 2.73
N: 0.1250 0.3750 0.6250 [4 per cell]  6 Mo 2.13

**D(E_F)**: 1.74 states/eV/f.u.
**Electronic total energy**: -30.16 eV per atom
**V**: 13.0 A^3/atom
**Crystal system**: cubic

# 2
This record from the Alexandria database describes a PBEsol-optimized structure of Mo3PdN. The functional is SCAN.

Cell: 4.0547 4.0547 4.0547 Å, 90.00 90.00 90.00°
With the nearest neighbours (Å) after each atom.
Space group Pm-3m (No. 221)
Inequivalent atoms, fractional coordinates:
Mo: 0.0000 0.0000 0.5000 [3 per cell]  2 N 2.03
Pd: 0.5000 0.5000 0.5000 [1 per cell]  12 Mo 2.87
N: 0.0000 0.0000 0.0000 [1 per cell]  6 Mo 2.03

**D(E_F)**: 3.39 states/eV/f.u.
**Electronic total energy**: -29.46 eV per atom
**V**: 13.3 A^3/atom
**Crystal system**: cubic